DFT (PBE) results for CaCoOs2 after structural relaxation.

The energy above the most stable polymorph in this dataset is 0.080 eV per atom. For the total energy, the calculation gives -7.46 eV/atom. As for the calculated volume: 16.9 Å³ per atom. The energy of formation from the pure elements is 0.43 eV/atom. Its density of states at the Fermi level is 1.20 states/eV per atom.

a b c (Å): 2.799 3.671 6.593
angles (deg): 90.00 90.00 90.00
Last column: magnetic moment on the atom in μB.
Atoms (fractional coordinates):
Co 0.500 0.500 0.805  1.34
Ca 0.000 0.000 0.510  -0.02
Os 0.000 0.000 0.002  0.18
Os 0.500 0.500 0.183  0.04

DFT (PBE) results for Tb2NdY2Er after structural relaxation.

For the total energy, the calculation gives -4.97 eV/atom. As for the calculated volume: 33.3 Å³ per atom. The energy of formation from the pure elements is 0.29 eV/atom. Its density of states at the Fermi level is 1.64 states/eV per atom.

a b c (Å): 3.391 6.673 17.679
angles (deg): 90.00 90.00 90.00
Atoms (fractional coordinates):
Tb 0.500 0.261 0.321
Tb 0.000 0.761 0.179
Tb 0.500 0.739 0.679
Tb 0.000 0.239 0.821
Nd 0.500 0.500 0.000
Nd 0.000 0.000 0.500
Y 0.500 0.764 0.349
Y 0.500 0.236 0.651
Y 0.000 0.736 0.849
Y 0.000 0.264 0.151
Er 0.000 0.000 0.000
Er 0.500 0.500 0.500

DFT (PBE) results for AcLa2Pr8 after structural relaxation.

The energy above the most stable polymorph in this dataset is 0.025 eV per atom. For the total energy, the calculation gives -4.61 eV/atom. As for the calculated volume: 37.6 Å³ per atom. The energy of formation from the pure elements is 0.13 eV/atom. Its density of states at the Fermi level is 1.55 states/eV per atom.

a b c (Å): 7.072 10.707 10.707
angles (deg): 37.94 58.15 58.15
Atoms (fractional coordinates):
Ac 0.000 0.000 0.000
La 0.624 0.791 0.791
La 0.376 0.209 0.209
Pr 0.243 0.359 0.821
Pr 0.757 0.179 0.641
Pr 0.186 0.762 0.762
Pr 0.814 0.238 0.238
Pr 0.243 0.821 0.359
Pr 0.757 0.641 0.179
Pr 0.737 0.591 0.591
Pr 0.263 0.409 0.409

DFT (PBE) results for Ba3Al4Zn after structural relaxation.

For the total energy, the calculation gives -2.95 eV/atom. As for the calculated volume: 31.6 Å³ per atom. The energy of formation from the pure elements is -0.20 eV/atom. Its density of states at the Fermi level is 0.51 states/eV per atom.

a b c (Å): 6.313 6.174 12.971
angles (deg): 90.00 90.00 90.00
Atoms (fractional coordinates):
Zn 0.684 0.500 0.000
Zn 0.316 0.000 0.500
Ba 0.531 0.000 0.000
Ba 0.469 0.500 0.500
Ba 0.807 0.500 0.753
Ba 0.807 0.500 0.247
Ba 0.193 0.000 0.747
Ba 0.193 0.000 0.253
Al 0.311 0.500 0.893
Al 0.311 0.500 0.107
Al 0.028 0.250 0.000
Al 0.028 0.750 0.000
Al 0.972 0.750 0.500
Al 0.972 0.250 0.500
Al 0.689 0.000 0.393
Al 0.689 0.000 0.607

DFT (PBE) results for KAlH5 after structural relaxation.

For the total energy, the calculation gives -2.99 eV/atom. As for the calculated volume: 13.4 Å³ per atom. Its density of states at the Fermi level is 0.12 states/eV per atom.

a b c (Å): 6.266 6.266 6.837
angles (deg): 56.94 56.94 77.66
Last column: magnetic moment on the atom in μB.
Atoms (fractional coordinates):
K 0.577 0.423 0.250  0.01
K 0.423 0.577 0.750  0.01
Al 0.000 0.000 0.000  0.07
Al 0.000 0.000 0.500  0.07
H 0.763 0.763 0.237  0.02
H 0.203 0.797 0.318  0.04
H 0.763 0.763 0.737  0.02
H 0.909 0.091 0.250  0.00
H 0.203 0.797 0.182  0.04
H 0.797 0.203 0.818  0.04
H 0.091 0.909 0.750  0.00
H 0.237 0.237 0.263  0.02
H 0.797 0.203 0.682  0.04
H 0.237 0.237 0.763  0.02

DFT (PBE) results for CaThZnHg after structural relaxation.

For the total energy, the calculation gives -3.00 eV/atom. As for the calculated volume: 26.3 Å³ per atom. The energy of formation from the pure elements is -0.25 eV/atom. Its density of states at the Fermi level is 0.68 states/eV per atom.

a b c (Å): 5.298 5.298 5.298
angles (deg): 60.00 60.00 60.00
Atoms (fractional coordinates):
Zn 0.000 0.000 0.000
Ca 0.250 0.250 0.250
Hg 0.500 0.500 0.500
Th 0.750 0.750 0.750

DFT (PBE) results for MnNiTe after structural relaxation.

The energy above the most stable polymorph in this dataset is 0.244 eV per atom. For the total energy, the calculation gives -5.89 eV/atom. As for the calculated volume: 18.0 Å³ per atom. The formation energy from raw total energies is 0.14 eV/atom. Its density of states at the Fermi level is 0.81 states/eV per atom.

a b c (Å): 4.018 4.018 3.852
angles (deg): 90.00 90.00 120.00
Last column: magnetic moment on the atom in μB.
Atoms (fractional coordinates):
Mn 0.000 0.000 0.063  3.73
Ni 0.333 0.667 0.345  0.14
Te 0.667 0.333 0.592  -0.02

DFT (PBE) results for Ti3Mn2Al3Co after structural relaxation.

For the total energy, the calculation gives -7.03 eV/atom. As for the calculated volume: 14.3 Å³ per atom. The energy of formation from the pure elements is -0.32 eV/atom. Its density of states at the Fermi level is 1.19 states/eV per atom.

a b c (Å): 3.013 7.022 7.022
angles (deg): 120.00 90.00 90.00
Last column: magnetic moment on the atom in μB.
Atoms (fractional coordinates):
Ti 0.000 0.607 0.607  -0.29
Ti 0.000 0.000 0.393  -0.29
Ti 0.000 0.393 0.000  -0.29
Mn 0.500 0.667 0.333  1.80
Mn 0.500 0.333 0.667  1.80
Al 0.500 0.733 0.000  0.00
Al 0.500 0.000 0.733  0.00
Al 0.500 0.267 0.267  0.00
Co 0.000 0.000 0.000  -0.54

DFT (PBE) results for SiGeAs3 after structural relaxation.

The energy above the most stable polymorph in this dataset is 0.000 eV per atom. For the total energy, the calculation gives -4.69 eV/atom. As for the calculated volume: 23.3 Å³ per atom. The formation energy from raw total energies is 0.11 eV/atom. Its density of states at the Fermi level is 0.27 states/eV per atom.

a b c (Å): 3.746 6.434 10.105
angles (deg): 86.59 90.00 106.92
Atoms (fractional coordinates):
Si 0.964 0.927 0.706
Si 0.036 0.073 0.294
Ge 0.676 0.351 0.879
Ge 0.324 0.649 0.121
As 0.410 0.820 0.570
As 0.590 0.180 0.430
As 0.874 0.748 0.924
As 0.126 0.252 0.076
As 0.158 0.316 0.714
As 0.842 0.684 0.286

DFT (PBE) results for Be2CdRu after structural relaxation.

For the total energy, the calculation gives -4.00 eV/atom. As for the calculated volume: 13.4 Å³ per atom. The energy of formation from the pure elements is 0.41 eV/atom. Its density of states at the Fermi level is 0.41 states/eV per atom.

a b c (Å): 2.717 2.717 7.905
angles (deg): 90.00 90.00 112.89
Atoms (fractional coordinates):
Ru 0.500 0.500 0.799
Be 0.000 0.000 0.005
Be 0.500 0.500 0.207
Cd 0.000 0.000 0.489

DFT (PBE) results for SiSbRh2 after structural relaxation.

The energy above the most stable polymorph in this dataset is 0.293 eV per atom. For the total energy, the calculation gives -6.26 eV/atom. As for the calculated volume: 15.7 Å³ per atom. The formation energy from raw total energies is -0.20 eV/atom. Its density of states at the Fermi level is 0.95 states/eV per atom.

a b c (Å): 4.399 4.399 3.251
angles (deg): 90.00 90.00 90.13
Atoms (fractional coordinates):
Rh 0.000 0.000 0.000
Rh 0.500 0.500 0.000
Sb 0.500 0.000 0.500
Si 0.000 0.500 0.500

DFT (PBE) results for AcNi3Sb2 after structural relaxation.

For the total energy, the calculation gives -5.43 eV/atom. As for the calculated volume: 20.1 Å³ per atom. The formation energy from raw total energies is -0.48 eV/atom. Its density of states at the Fermi level is 0.70 states/eV per atom.

a b c (Å): 4.356 8.485 7.487
angles (deg): 114.59 90.00 104.87
Atoms (fractional coordinates):
Ac 0.845 0.691 0.908
Ac 0.155 0.309 0.092
Ni 0.302 0.604 0.537
Ni 0.994 0.989 0.652
Ni 0.587 0.174 0.626
Ni 0.413 0.826 0.374
Ni 0.006 0.011 0.348
Ni 0.698 0.396 0.463
Sb 0.471 0.942 0.775
Sb 0.529 0.058 0.225
Sb 0.825 0.651 0.351
Sb 0.175 0.349 0.649